No. 1
Below is a relaxed HfAlAgAu crystal, with properties calculated at the PBE-GGA level.

Unit cell a=4.6668 b=4.6668 c=4.6668 alpha=60.00 beta=60.00 gamma=60.00
Last column: nearest neighbours and their distance in Å.
Element x y z (fractional)
1 Ag 0.5000 0.5000 0.5000  4 Al 2.86, 4 Hf 2.86
2 Al 0.2500 0.2500 0.2500  4 Ag 2.86, 4 Au 2.86
3 Au 0.0000 0.0000 0.0000  4 Al 2.86, 4 Hf 2.86
4 Hf 0.7500 0.7500 0.7500  4 Ag 2.86, 4 Au 2.86

V, Å³/f.u.: 71.87
Excess energy over the best structure of this formula in the dataset, eV/atom: 0.0000
Total moment, μB/atom: 0.000



No. 2
Below is a relaxed HfAlAgAu crystal, with properties calculated at the PBE-GGA level.

Unit cell a=4.6761 b=4.6761 c=4.6761 alpha=60.00 beta=60.00 gamma=60.00
Last column: nearest neighbours and their distance in Å.
Element x y z (fractional)
1 Ag 0.2500 0.2500 0.2500  4 Al 2.86, 4 Au 2.86
2 Al 0.5000 0.5000 0.5000  4 Hf 2.86, 4 Ag 2.86
3 Au 0.0000 0.0000 0.0000  4 Hf 2.86, 4 Ag 2.86
4 Hf 0.7500 0.7500 0.7500  4 Al 2.86, 4 Au 2.86

V, Å³/f.u.: 72.30
Excess energy over the best structure of this formula in the dataset, eV/atom: 0.0882
Total moment, μB/atom: 0.000



No. 3
Below is a relaxed HfAlAgAu crystal, with properties calculated at the PBE-GGA level.

Unit cell a=4.6601 b=4.6601 c=4.6601 alpha=60.00 beta=60.00 gamma=60.00
Last column: nearest neighbours and their distance in Å.
Element x y z (fractional)
1 Ag 0.5000 0.5000 0.5000  4 Au 2.85, 4 Hf 2.85
2 Al 0.0000 0.0000 0.0000  4 Hf 2.85, 4 Au 2.85
3 Au 0.2500 0.2500 0.2500  4 Ag 2.85, 4 Al 2.85
4 Hf 0.7500 0.7500 0.7500  4 Ag 2.85, 4 Al 2.85

V, Å³/f.u.: 71.56
Excess energy over the best structure of this formula in the dataset, eV/atom: 0.1745
Total moment, μB/atom: 0.003



No. 4
Below is a relaxed AlInAgAu crystal, with properties calculated at the PBE-GGA level.

Unit cell a=4.7695 b=4.7695 c=4.7695 alpha=60.00 beta=60.00 gamma=60.00
Last column: nearest neighbours and their distance in Å.
Element x y z (fractional)
1 Ag 0.2500 0.2500 0.2500  4 In 2.92, 4 Al 2.92
2 Al 0.5000 0.5000 0.5000  4 Au 2.92, 4 Ag 2.92
3 Au 0.7500 0.7500 0.7500  4 In 2.92, 4 Al 2.92
4 In 0.0000 0.0000 0.0000  4 Au 2.92, 4 Ag 2.92

V, Å³/f.u.: 76.72
Excess energy over the best structure of this formula in the dataset, eV/atom: 0.0000



No. 5
Below is a relaxed Li2AlInAg2Au2 crystal, with properties calculated at the PBE-GGA level.

Unit cell a=4.4875 b=4.4875 c=6.6973 alpha=90.00 beta=90.00 gamma=90.00
Last column: nearest neighbours and their distance in Å.
Element x y z (fractional)
1 Ag 0.5000 0.0000 0.2321  2 Al 2.73, 4 Li 2.73-2.87, 2 In 2.87, 1 Au 3.05
2 Ag 0.0000 0.5000 0.7679  4 Li 2.73-2.87, 2 Al 2.73, 2 In 2.87, 1 Au 3.05
3 Al 0.5000 0.5000 0.0000  4 Au 2.70, 4 Ag 2.73
4 Au 0.0000 0.5000 0.2233  4 Li 2.70-2.91, 2 Al 2.70, 2 In 2.91
5 Au 0.5000 0.0000 0.7767  4 Li 2.70-2.91, 2 Al 2.70, 2 In 2.91
6 In 0.0000 0.0000 0.5000  4 Ag 2.87, 4 Au 2.91, 4 Li 3.17
7 Li 0.0000 0.0000 0.0000  4 Au 2.70, 4 Ag 2.73
8 Li 0.5000 0.5000 0.5000  4 Ag 2.87, 4 Au 2.91, 4 In 3.17

Electronic total energy, eV per atom: -3.20
V, Å³/f.u.: 134.87



No. 6
Below is a relaxed Li2La2Al2AgAu crystal, with properties calculated at the PBE-GGA level.

Unit cell a=4.9318 b=4.9318 c=6.9770 alpha=90.00 beta=90.00 gamma=90.00
Last column: nearest neighbours and their distance in Å.
Element x y z (fractional)
1 Ag 0.0000 0.0000 0.0000  4 Al 3.01, 4 La 3.03
2 Al 0.5000 0.0000 0.2483  2 Ag 3.01, 4 Li 3.01-3.03, 2 Au 3.03
3 Al 0.0000 0.5000 0.7517  2 Ag 3.01, 4 Li 3.01-3.03, 2 Au 3.03
4 Au 0.5000 0.5000 0.5000  4 La 3.01, 4 Al 3.03
5 La 0.0000 0.5000 0.2535  4 Li 3.01-3.03, 2 Au 3.01, 2 Ag 3.03
6 La 0.5000 0.0000 0.7465  4 Li 3.01-3.03, 2 Au 3.01, 2 Ag 3.03
7 Li 0.5000 0.5000 0.0000  4 Al 3.01, 4 La 3.03
8 Li 0.0000 0.0000 0.5000  4 La 3.01, 4 Al 3.03

Electronic total energy, eV per atom: -3.81
V, Å³/f.u.: 169.70
Total moment, μB/atom: 0.000